(1)
# CsTl3Bi

A geometry-optimized CsTl3Bi structure (GGA-PBE, Alexandria).

```
10
Lattice="7.869 0.610 0.000 3.447 7.100 0.000 0.000 0.000 7.503" Properties=species:S:1:pos:R:3 pbc="T T T"
Bi 8.039 6.440 0.393
Bi 7.570 1.368 4.144
Tl 2.749 5.243 2.269
Tl 5.328 4.593 0.393
Tl 2.412 2.605 4.144
Tl 4.991 1.955 6.020
Tl 2.749 5.243 6.020
Tl 4.991 1.955 2.269
Cs 6.663 5.501 4.144
Cs 1.077 1.697 0.393
```

Summary:
DFT formation energy: -0.139 eV per atom
SG: Cmcm
energy above the most stable polymorph in this dataset: 0.0000 eV per atom
Fermi-level density of states: 0.559 states/eV/atom

=====

(2)
# Cs2Tl16Bi

A geometry-optimized Cs2Tl16Bi structure (GGA-PBE, Alexandria).

```
19
Lattice="-8.403 -2.553 0.483 1.478 -8.669 0.172 -0.355 -1.016 8.730" Properties=species:S:1:pos:R:3 pbc="T T T"
Tl -5.498 -3.612 6.039
Tl -4.573 -7.475 1.719
Tl -1.818 -8.574 3.372
Tl -8.210 -5.789 6.714
Tl -1.751 -7.895 8.977
Tl -4.578 -10.757 3.053
Tl -2.725 -4.788 7.605
Tl -0.181 -0.515 4.367
Tl -5.875 -5.343 9.107
Tl 0.734 -4.339 0.092
Tl -0.510 -6.699 5.882
Tl -0.727 -1.222 0.937
Tl -4.203 -1.283 0.247
Tl -1.219 -10.116 6.494
Tl -7.445 -8.982 3.143
Tl -6.707 -5.548 3.525
Bi -6.583 -11.066 8.486
Cs -2.478 -4.166 3.195
Cs -4.813 -8.090 6.204
```

Summary:
DFT formation energy: -0.044 eV per atom
SG: R3m
Fermi-level density of states: 0.518 states/eV/atom

=====

(3)
# Cs4TlBi4

A geometry-optimized Cs4TlBi4 structure (GGA-PBE, Alexandria).

```
9
Lattice="7.786 0.000 0.000 -3.893 8.588 3.893 0.000 0.000 7.786" Properties=species:S:1:pos:R:3 pbc="T T T"
Bi 5.019 6.049 2.767
Bi -1.126 2.539 6.660
Bi 1.126 2.539 8.912
Bi 2.767 6.049 5.019
Cs -1.450 6.387 6.335
Cs 1.450 6.387 9.236
Cs 5.343 2.201 2.442
Cs 2.442 2.201 5.343
Tl 0.000 0.000 0.000
```

Summary:
DFT formation energy: -0.108 eV per atom
SG: I-42m
Fermi-level density of states: 0.734 states/eV/atom

=====

(4)
# Cs2TlBi2

A geometry-optimized Cs2TlBi2 structure (GGA-PBE, Alexandria).

```
10
Lattice="8.004 0.000 0.000 -4.002 6.181 0.374 0.000 -2.202 9.520" Properties=species:S:1:pos:R:3 pbc="T T T"
Cs 5.070 0.472 6.183
Cs -1.068 3.507 3.710
Cs 1.068 2.406 8.470
Cs 2.934 1.573 1.423
Bi -2.735 2.324 9.721
Bi 6.737 1.655 0.172
Bi 2.735 3.425 4.961
Bi 1.267 0.554 4.932
Tl 0.392 -1.652 7.140
Tl 7.612 -0.551 2.380
```

Summary:
DFT formation energy: -0.296 eV per atom
SG: C2/c
energy above the most stable polymorph in this dataset: 0.0000 eV per atom
Fermi-level density of states: 0.407 states/eV/atom

=====

(5)
# Cs2TlBi2

A geometry-optimized Cs2TlBi2 structure (GGA-PBE, Alexandria).

```
10
Lattice="-0.026 6.053 6.011 -0.438 -6.005 6.044 6.366 -0.217 0.246" Properties=species:S:1:pos:R:3 pbc="T T T"
Bi -0.167 -1.463 3.018
Bi -0.072 3.032 4.545
Bi -0.298 1.511 9.037
Bi -0.392 -2.984 7.510
Cs 2.885 -3.103 5.192
Cs 3.100 0.871 3.134
Cs 3.017 2.934 7.110
Cs 2.802 -1.040 9.167
Tl -0.232 0.024 6.028
Tl 0.000 0.000 0.000
```

Summary:
DFT formation energy: -0.250 eV per atom
SG: P4/mbm
energy above the most stable polymorph in this dataset: 0.0461 eV per atom
Fermi-level density of states: 0.450 states/eV/atom

=====

(6)
# CsTl2Bi

A geometry-optimized CsTl2Bi structure (GGA-PBE, Alexandria).

```
4
Lattice="4.214 0.000 0.000 0.000 4.214 0.000 0.000 0.000 8.643" Properties=species:S:1:pos:R:3 pbc="T T T"
Tl 0.000 0.000 6.973
Tl 0.000 0.000 1.671
Cs 2.107 2.107 4.322
Bi 2.107 2.107 0.000
```

Summary:
DFT formation energy: -0.156 eV per atom
SG: P4/mmm
Fermi-level density of states: 0.347 states/eV/atom

=====

(7)
# Cs3TlBi

A geometry-optimized Cs3TlBi structure (GGA-PBE, Alexandria).

```
5
Lattice="7.101 0.000 0.000 0.000 7.101 0.000 0.000 0.000 7.101" Properties=species:S:1:pos:R:3 pbc="T T T"
Cs 0.000 0.000 3.551
Cs 3.551 0.000 0.000
Cs 0.000 3.551 0.000
Tl 0.000 0.000 0.000
Bi 3.551 3.551 3.551
```

Summary:
DFT formation energy: 0.233 eV per atom
SG: Pm-3m
energy above the most stable polymorph in this dataset: 0.4514 eV per atom
Fermi-level density of states: 2.497 states/eV/atom

=====

(8)
# Cs4Tl3Bi2

A geometry-optimized Cs4Tl3Bi2 structure (GGA-PBE, Alexandria).

```
9
Lattice="4.957 0.000 -1.367 -0.776 8.031 -2.813 0.501 0.269 11.491" Properties=species:S:1:pos:R:3 pbc="T T T"
Bi 2.812 3.936 0.526
Bi 1.871 4.364 6.785
Cs 3.788 2.385 4.067
Cs 2.510 1.278 9.102
Cs 0.895 5.914 3.245
Cs 2.173 7.022 -1.791
Tl -0.388 4.015 -1.406
Tl 0.334 2.048 1.210
Tl 4.349 6.252 6.101
```

Summary:
DFT formation energy: -0.214 eV per atom
SG: C2/m
Fermi-level density of states: 0.630 states/eV/atom